Entry from Alexandria via LeMat-Bulk: an optimized crystal structure of Mn2V3CrP6O24 (PBE+U).

a b c (Å): 8.6169 8.6169 21.1314
angles (deg): 90.00 90.00 120.00
Closest atoms and distances in Å follow each position.
Space group R3 (No. 146, hexagonal axes)
Inequivalent atoms, fractional coordinates:
Mn (0.0000, 0.0000, 0.0000) x3  6 O 2.26
Mn (0.0000, 0.0000, 0.4992) x3  6 O 2.24-2.25
V (0.0000, 0.0000, 0.1437) x3  6 O 1.91-2.02
V (0.0000, 0.0000, 0.3559) x3  6 O 1.93-2.04
V (0.0000, 0.0000, 0.8554) x3  6 O 1.92-2.04
Cr (0.0000, 0.0000, 0.6417) x3  6 O 1.96-2.05
P (0.0004, 0.2906, 0.7488) x9  4 O 1.51-1.57
P (0.0000, 0.7082, 0.2494) x9  4 O 1.53-1.56
O (0.0068, 0.1990, 0.6886) x9  1 P 1.51
O (0.0196, 0.8357, 0.9201) x9  1 P 1.56
O (0.0214, 0.1857, 0.4203) x9  1 P 1.56
O (0.1410, 0.6692, 0.9766) x9  1 P 1.53
O (0.1419, 0.4731, 0.4766) x9  1 P 1.54
O (0.1433, 0.6705, 0.8558) x9  1 P 1.54
O (0.1678, 0.4837, 0.7466) x9  1 P 1.57
O (0.1694, 0.6897, 0.2437) x9  1 P 1.55

The density of states at the Fermi level comes out at 0.207 states/eV per atom. The raw total energy comes out at -7.595 eV/atom.